## TaMo6W3 (PBE-GGA)

Data for a geometry-optimized TaMo6W3 structure.

Cell and atoms, written as POSCAR:
```
TaMo6W3
1.0
4.4983 0.0000 0.0000
0.0000 7.1398 -3.1246
0.0000 -1.0436 10.4951
Mo W Ta
12 6 2
Direct
0.7500 0.8520 0.9023
0.7500 0.0479 0.1980
0.2500 0.1480 0.0977
0.2500 0.9469 0.2974
0.2500 0.9521 0.8020
0.7500 0.2454 0.5001
0.7500 0.6500 0.0990
0.7500 0.4494 0.2964
0.2500 0.7546 0.4999
0.2500 0.3500 0.9010
0.7500 0.0531 0.7026
0.2500 0.5506 0.7036
0.2500 0.1497 0.5999
0.7500 0.4492 0.8001
0.2500 0.5508 0.1999
0.2500 0.7484 0.9992
0.7500 0.2516 0.0008
0.7500 0.8503 0.4001
0.7500 0.6505 0.6006
0.2500 0.3495 0.3994
```

Summary:
Space group ... P2_1/m, No. 11
Formation energy from the elements ... -0.077 eV/atom
Polymorph energy (0 for the lowest one) ... 0.00 kcal/mol of atoms
DFT total energy ... -11.65 eV per atom